1.
# TlAuSe

A geometry-optimized TlAuSe structure (PBE, Alexandria via LeMat-Bulk).

For the total magnetization, the calculation gives 0.00 μB/cell. The value obtained for the density of states at the Fermi level is 0.9 states/eV per cell. The uncorrected formation energy is -0.27 eV per atom. The value obtained for the total energy is -3.314 eV per atom.

The structure belongs to space group Imma (No. 74); the cell edges are 6.954, 9.386 and 5.490 Å and the angles 90.00°, 90.00° and 90.00°. The distinct sites, in fractional coordinates, are Tl at (0.000, 0.000, 0.000), Au at (0.250, 0.250, 0.250) and Se at (0.000, 0.250, 0.569).

=====

2.
# Ca2ScTc

A geometry-optimized Ca2ScTc structure (PBE, Alexandria via LeMat-Bulk).

For the total magnetization, the calculation gives 0.23 μB/cell. The value obtained for the density of states at the Fermi level is 5.2 states/eV per cell. The value obtained for the total energy is -4.615 eV per atom.

The structure belongs to space group P2/m (No. 10); the cell edges are 3.222, 5.110 and 6.075 Å and the angles 90.00°, 104.22° and 90.00°. The distinct sites, in fractional coordinates, are Ca at (0.073, 0.000, 0.269), Sc at (0.500, 0.500, 0.000) and Tc at (0.500, 0.500, 0.500).

=====

3.
# LaEuCuAg

A geometry-optimized LaEuCuAg structure (PBE, Alexandria via LeMat-Bulk).

For the total magnetization, the calculation gives 28.46 μB/cell. The value obtained for the density of states at the Fermi level is 35.0 states/eV per cell. The value obtained for the total energy is -5.726 eV per atom.

The structure belongs to space group F-43m (No. 216); the cell edges are 7.478, 7.478 and 7.478 Å and the angles 90.00°, 90.00° and 90.00°. The distinct sites, in fractional coordinates, are La at (0.000, 0.000, 0.000), Eu at (0.000, 0.000, 0.500), Cu at (0.250, 0.250, 0.250) and Ag at (0.250, 0.250, 0.750).

=====

4.
# ThPIr3

A geometry-optimized ThPIr3 structure (PBE, Alexandria via LeMat-Bulk).

For the total magnetization, the calculation gives 0.00 μB/cell. The value obtained for the density of states at the Fermi level is 6.5 states/eV per cell. The value obtained for the total energy is -8.784 eV per atom.

The structure belongs to space group I4mm (No. 107); the cell edges are 4.061, 4.061 and 10.670 Å and the angles 90.00°, 90.00° and 90.00°. The distinct sites, in fractional coordinates, are Th at (0.000, 0.000, 0.000), P at (0.000, 0.000, 0.371), Ir at (0.000, 0.000, 0.584) and Ir at (0.000, 0.500, 0.260).

=====

5.
# Y2VSbBr

A geometry-optimized Y2VSbBr structure (PBE, Alexandria via LeMat-Bulk).

For the total magnetization, the calculation gives 4.87 μB/cell. The value obtained for the density of states at the Fermi level is 6.4 states/eV per cell. The uncorrected formation energy is 0.24 eV per atom. The value obtained for the total energy is -5.324 eV per atom.

The structure belongs to space group P4/mmm (No. 123); the cell edges are 5.822, 5.822 and 5.065 Å and the angles 90.00°, 90.00° and 90.00°. The distinct sites, in fractional coordinates, are Y at (0.000, 0.500, 0.000), V at (0.000, 0.000, 0.500), Sb at (0.000, 0.000, 0.000) and Br at (0.500, 0.500, 0.500).

=====

6.
# CdFeBr3

A geometry-optimized CdFeBr3 structure (PBE, Alexandria via LeMat-Bulk).

For the total magnetization, the calculation gives 0.00 μB/cell. The value obtained for the density of states at the Fermi level is 5.8 states/eV per cell. The uncorrected formation energy is 0.04 eV per atom. The value obtained for the total energy is -2.843 eV per atom.

The structure belongs to space group Pm-3m (No. 221); the cell edges are 4.944, 4.944 and 4.944 Å and the angles 90.00°, 90.00° and 90.00°. The distinct sites, in fractional coordinates, are Cd at (0.000, 0.000, 0.000), Fe at (0.500, 0.500, 0.500) and Br at (0.000, 0.500, 0.500).

=====

7.
# InPt

A geometry-optimized InPt structure (PBE, Alexandria via LeMat-Bulk).

For the total magnetization, the calculation gives 0.00 μB/cell. The value obtained for the density of states at the Fermi level is 4.4 states/eV per cell. The value obtained for the total energy is -4.525 eV per atom.

The structure belongs to space group P4_2/mnm (No. 136); the cell edges are 8.452, 8.452 and 2.921 Å and the angles 90.00°, 90.00° and 90.00°. The distinct sites, in fractional coordinates, are In at (0.195, 0.195, 0.000) and Pt at (0.116, 0.884, 0.000).

=====

8.
# Tl2HAuBr

A geometry-optimized Tl2HAuBr structure (PBE, Alexandria via LeMat-Bulk).

For the total magnetization, the calculation gives 0.00 μB/cell. The value obtained for the density of states at the Fermi level is 0.9 states/eV per cell. The value obtained for the total energy is -2.851 eV per atom.

The structure belongs to space group P4/mmm (No. 123); the cell edges are 5.861, 5.861 and 3.658 Å and the angles 90.00°, 90.00° and 90.00°. The distinct sites, in fractional coordinates, are Tl at (0.000, 0.500, 0.000), H at (0.000, 0.000, 0.500), Au at (0.000, 0.000, 0.000) and Br at (0.500, 0.500, 0.500).

=====

9.
# Pm4Dy5Mg

A geometry-optimized Pm4Dy5Mg structure (PBE, Alexandria via LeMat-Bulk).

For the total magnetization, the calculation gives 0.00 μB/cell. The value obtained for the density of states at the Fermi level is 13.4 states/eV per cell. The value obtained for the total energy is -4.361 eV per atom.

The structure belongs to space group P4/mmm (No. 123); the cell edges are 3.609, 3.609 and 24.425 Å and the angles 90.00°, 90.00° and 90.00°. The distinct sites, in fractional coordinates, are Pm at (0.000, 0.000, 0.103), Pm at (0.000, 0.000, 0.311), Dy at (0.500, 0.500, 0.000), Dy at (0.500, 0.500, 0.207), Dy at (0.500, 0.500, 0.412) and Mg at (0.000, 0.000, 0.500).

=====

10.
# Y3SiTe6

A geometry-optimized Y3SiTe6 structure (PBE, Alexandria via LeMat-Bulk).

For the total magnetization, the calculation gives 0.00 μB/cell. The value obtained for the density of states at the Fermi level is 13.0 states/eV per cell. The uncorrected formation energy is -0.98 eV per atom. The value obtained for the total energy is -5.350 eV per atom.

The structure belongs to space group Cmc2_1 (No. 36); the cell edges are 12.072, 14.931 and 7.269 Å and the angles 90.00°, 90.00° and 90.00°. The distinct sites, in fractional coordinates, are Y at (0.000, 0.094, 0.000), Y at (0.181, 0.403, 0.109), Si at (0.000, 0.297, 0.651), Te at (0.000, 0.280, 0.283), Te at (0.000, 0.461, 0.797), Te at (0.163, 0.038, 0.303) and Te at (0.170, 0.232, 0.833).

=====

11.
# Hg5Bi3O12

A geometry-optimized Hg5Bi3O12 structure (PBE, Alexandria via LeMat-Bulk).

For the total magnetization, the calculation gives 0.01 μB/cell. The value obtained for the density of states at the Fermi level is 111.2 states/eV per cell. The uncorrected formation energy is -0.37 eV per atom. The value obtained for the total energy is -4.000 eV per atom.

The structure belongs to space group Ia-3d (No. 230); the cell edges are 13.549, 13.549 and 13.549 Å and the angles 90.00°, 90.00° and 90.00°. The distinct sites, in fractional coordinates, are Hg at (0.000, 0.000, 0.000), Hg at (0.000, 0.250, 0.375), Bi at (0.000, 0.250, 0.125) and O at (0.012, 0.068, 0.654).

=====

12.
# SrLa2ZnSe

A geometry-optimized SrLa2ZnSe structure (PBE, Alexandria via LeMat-Bulk).

For the total magnetization, the calculation gives 0.00 μB/cell. The value obtained for the density of states at the Fermi level is 7.7 states/eV per cell. The uncorrected formation energy is -0.45 eV per atom. The value obtained for the total energy is -3.710 eV per atom.

The structure belongs to space group P4/mmm (No. 123); the cell edges are 5.704, 5.704 and 5.791 Å and the angles 90.00°, 90.00° and 90.00°. The distinct sites, in fractional coordinates, are Sr at (0.000, 0.000, 0.000), La at (0.000, 0.500, 0.500), Zn at (0.500, 0.500, 0.000) and Se at (0.000, 0.000, 0.500).